## 1
! Li6Ag2Sn | Alexandria | PBE | relaxed; values from VASP
&SYSTEM
  ibrav = 0, nat = 9, ntyp = 3
/
ATOMIC_SPECIES
Li 6.94 Li.upf
Sn 118.71 Sn.upf
Ag 107.87 Ag.upf
ATOMIC_POSITIONS angstrom
Li 4.346 0.984 2.204
Sn 0.000 0.000 0.000
Li 2.234 4.440 0.197
Ag 3.197 3.620 2.867
Li 0.472 4.475 2.119
Li 0.647 2.765 4.084
Li 4.171 2.695 0.240
Ag 1.621 1.839 1.456
Li 2.584 1.019 4.127
CELL_PARAMETERS angstrom
5.322 0.031 -0.447
-0.516 5.291 -0.574
0.012 0.138 5.345
! space-group type	No. 166

## 2
! Li6Ag2Sn | Alexandria | PBE | relaxed; values from VASP
&SYSTEM
  ibrav = 0, nat = 18, ntyp = 3
/
ATOMIC_SPECIES
Sn 118.71 Sn.upf
Li 6.94 Li.upf
Ag 107.87 Ag.upf
ATOMIC_POSITIONS angstrom
Sn -0.207 0.000 4.274
Li 4.270 8.534 1.701
Ag 4.272 5.720 1.668
Li -0.206 2.788 4.280
Li 2.037 4.259 2.888
Li -0.067 2.854 1.406
Li 4.136 5.763 4.479
Ag -0.343 2.831 7.091
Li 1.892 4.291 5.871
Li 2.032 7.129 2.973
Li 1.758 7.063 8.648
Ag 2.035 1.445 2.921
Li 3.996 5.697 7.352
Li -0.341 0.016 7.058
Ag 1.894 7.106 5.837
Li 2.172 1.488 0.110
Sn 2.171 4.275 0.105
Li 1.898 1.422 5.786
CELL_PARAMETERS angstrom
4.343 0.000 0.210
0.000 8.550 0.000
-0.413 0.000 8.549
! space-group type	No. 58

Most stable: 1. Least stable: 2.

## 1
! Li4Ag7Sn | Alexandria | PBE | relaxed; values from VASP
&SYSTEM
  ibrav = 0, nat = 12, ntyp = 3
/
ATOMIC_SPECIES
Li 6.94 Li.upf
Ag 107.87 Ag.upf
Sn 118.71 Sn.upf
ATOMIC_POSITIONS angstrom
Li 5.114 2.092 2.892
Ag 5.114 4.136 1.058
Ag 2.557 0.847 2.594
Ag 7.671 8.042 2.352
Sn 0.000 0.000 0.000
Li 7.671 6.125 4.277
Li 2.557 2.764 0.669
Li 5.114 6.798 2.054
Ag 2.557 5.418 1.384
Ag 2.557 0.000 0.000
Ag 7.671 3.471 3.563
Ag 5.114 4.754 3.888
CELL_PARAMETERS angstrom
5.114 0.000 0.000
2.557 8.723 -0.294
2.557 0.166 5.241
! space-group type	No. 12

## 2
! Li4Ag7Sn | Alexandria | PBE | relaxed; values from VASP
&SYSTEM
  ibrav = 0, nat = 12, ntyp = 3
/
ATOMIC_SPECIES
Li 6.94 Li.upf
Sn 118.71 Sn.upf
Ag 107.87 Ag.upf
ATOMIC_POSITIONS angstrom
Li 5.249 2.146 8.300
Sn 0.000 0.000 0.000
Li 3.371 2.136 4.821
Ag 1.117 0.804 6.025
Li 3.693 0.118 6.891
Ag 5.946 1.450 5.687
Ag 2.643 2.889 7.384
Ag 4.149 1.422 2.185
Ag 2.915 0.832 9.526
Ag 4.420 -0.635 4.328
Ag 2.626 -0.670 0.790
Li 1.815 0.108 3.411
CELL_PARAMETERS angstrom
5.252 -1.340 1.580
0.464 4.831 1.971
1.347 -1.237 8.161
! space-group type	No. 2

Most stable: 2. Least stable: 1.

## 1
! Li4Ag2Sn3 | Alexandria | PBE | relaxed; values from VASP
&SYSTEM
  ibrav = 0, nat = 9, ntyp = 3
/
ATOMIC_SPECIES
Sn 118.71 Sn.upf
Li 6.94 Li.upf
Ag 107.87 Ag.upf
ATOMIC_POSITIONS angstrom
Sn 0.000 2.631 1.598
Li 2.406 1.476 -0.553
Li 0.000 2.109 7.462
Li 0.000 -0.023 3.011
Ag 0.000 2.436 4.689
Ag 2.406 1.149 2.219
Sn 2.406 0.954 5.310
Sn 0.000 0.000 0.000
Li 2.406 3.608 3.897
CELL_PARAMETERS angstrom
4.812 0.000 0.000
-2.406 4.197 -1.962
0.000 -0.612 8.870
! space-group type	No. 12

## 2
! Li4Ag2Sn3 | Alexandria | PBE | relaxed; values from VASP
&SYSTEM
  ibrav = 0, nat = 9, ntyp = 3
/
ATOMIC_SPECIES
Sn 118.71 Sn.upf
Li 6.94 Li.upf
Ag 107.87 Ag.upf
ATOMIC_POSITIONS angstrom
Sn -6.125 -5.420 0.433
Li -9.008 -5.467 -0.044
Li -6.707 -8.117 -0.573
Li -3.360 -3.001 -1.228
Li -5.661 -0.350 -0.699
Ag -7.306 -5.846 -2.252
Ag -5.062 -2.621 0.980
Sn 0.000 0.000 0.000
Sn -6.243 -3.048 -1.705
CELL_PARAMETERS angstrom
-4.506 0.284 1.920
-4.044 -0.737 -3.105
-3.819 -8.015 -0.086
! space-group type	No. 2

Most stable: 2. Least stable: 1.

## 1
! Li3AgSn | Alexandria | PBE | relaxed; values from VASP
&SYSTEM
  ibrav = 0, nat = 5, ntyp = 3
/
ATOMIC_SPECIES
Sn 118.71 Sn.upf
Li 6.94 Li.upf
Ag 107.87 Ag.upf
ATOMIC_POSITIONS angstrom
Sn -5.613 1.260 -1.572
Li -3.304 3.547 -1.419
Ag -5.489 -1.007 -3.274
Li -3.187 1.262 -3.105
Li -3.227 -0.903 -1.553
CELL_PARAMETERS angstrom
-2.336 4.520 -1.709
-2.142 -2.372 -3.420
-4.695 -0.045 -0.225
! space-group type	No. 1

## 2
! Li3AgSn | Alexandria | PBE | relaxed; values from VASP
&SYSTEM
  ibrav = 0, nat = 5, ntyp = 3
/
ATOMIC_SPECIES
Sn 118.71 Sn.upf
Li 6.94 Li.upf
Ag 107.87 Ag.upf
ATOMIC_POSITIONS angstrom
Sn -3.097 -0.547 2.705
Li -0.091 0.932 2.204
Li -0.725 -2.113 0.863
Li -2.281 0.634 -0.362
Ag 0.000 0.000 0.000
CELL_PARAMETERS angstrom
-0.182 1.864 4.409
-4.562 1.268 -0.725
-1.449 -4.226 1.727
! space-group type	No. 221

Most stable: 1. Least stable: 2.

## 1
! Li2Ag3Sn3 | Alexandria | PBE | relaxed; values from VASP
&SYSTEM
  ibrav = 0, nat = 16, ntyp = 3
/
ATOMIC_SPECIES
Sn 118.71 Sn.upf
Li 6.94 Li.upf
Ag 107.87 Ag.upf
ATOMIC_POSITIONS angstrom
Sn 1.460 0.000 5.906
Li 2.920 2.380 4.121
Ag 4.380 4.429 5.685
Ag 1.460 2.710 6.678
Li 0.000 2.380 4.121
Sn 4.380 0.000 2.336
Ag 1.460 4.429 2.557
Sn 1.460 5.115 5.289
Ag 4.380 0.000 5.114
Sn 4.380 2.024 7.074
Sn 4.380 5.115 2.953
Li 0.000 4.759 8.242
Ag 1.460 7.138 7.249
Li 2.920 4.759 8.242
Sn 1.460 2.023 1.168
Ag 4.380 2.709 1.564
CELL_PARAMETERS angstrom
5.839 0.000 0.000
0.000 7.138 4.121
0.000 0.000 8.242
! space-group type	No. 193

## 2
! Li2Ag3Sn3 | Alexandria | PBE | relaxed; values from VASP
&SYSTEM
  ibrav = 0, nat = 16, ntyp = 3
/
ATOMIC_SPECIES
Ag 107.87 Ag.upf
Li 6.94 Li.upf
Sn 118.71 Sn.upf
ATOMIC_POSITIONS angstrom
Ag -1.201 1.968 -1.310
Li -0.250 5.179 3.408
Sn 3.665 11.514 7.311
Ag 1.329 12.896 8.363
Sn -2.074 7.229 2.190
Ag -2.686 4.066 2.832
Sn -0.980 4.853 0.566
Sn -3.537 3.350 -0.259
Li 0.378 9.684 3.645
Ag 0.832 7.359 2.094
Li -1.423 2.070 1.445
Ag -0.704 7.505 4.959
Sn 2.202 7.635 4.862
Sn 1.108 10.010 6.487
Ag 2.814 10.797 4.221
Li 1.551 12.794 5.608
CELL_PARAMETERS angstrom
-0.234 2.445 -3.733
-4.378 -0.149 2.851
4.740 12.568 7.935
! space-group type	No. 63

Most stable: 1. Least stable: 2.

## 1
! Li2Ag4Sn | Alexandria | PBE | relaxed; values from VASP
&SYSTEM
  ibrav = 0, nat = 7, ntyp = 3
/
ATOMIC_SPECIES
Ag 107.87 Ag.upf
Li 6.94 Li.upf
Sn 118.71 Sn.upf
ATOMIC_POSITIONS angstrom
Ag 0.000 2.573 0.000
Ag 2.573 2.573 4.217
Ag 5.146 5.146 2.777
Ag 2.573 0.000 0.000
Li 5.146 5.146 5.471
Sn 0.000 0.000 0.000
Li 2.573 2.573 1.523
CELL_PARAMETERS angstrom
5.146 0.000 0.000
0.000 5.146 0.000
2.573 2.573 6.994
! space-group type	No. 139

## 2
! Li2Ag4Sn | Alexandria | PBE | relaxed; values from VASP
&SYSTEM
  ibrav = 0, nat = 7, ntyp = 3
/
ATOMIC_SPECIES
Sn 118.71 Sn.upf
Ag 107.87 Ag.upf
Li 6.94 Li.upf
ATOMIC_POSITIONS angstrom
Sn 3.382 3.384 2.590
Ag 2.013 4.878 -0.154
Ag 4.875 2.020 -0.157
Li -0.011 3.392 1.298
Li 3.393 -0.007 1.295
Ag 1.338 1.337 2.676
Ag 2.044 2.047 -0.084
CELL_PARAMETERS angstrom
6.913 -0.016 -0.159
-0.025 6.913 -0.153
-3.506 -3.514 2.904
! space-group type	No. 12

Most stable: 2. Least stable: 1.

## 1
! Li3Ag6Sn | Alexandria | PBE | relaxed; values from VASP
&SYSTEM
  ibrav = 0, nat = 20, ntyp = 3
/
ATOMIC_SPECIES
Ag 107.87 Ag.upf
Li 6.94 Li.upf
Sn 118.71 Sn.upf
ATOMIC_POSITIONS angstrom
Ag 0.422 -9.070 0.649
Li -1.207 -7.487 -3.264
Ag -0.977 -9.650 2.942
Ag 1.542 -5.246 3.402
Ag 1.394 -10.880 4.046
Li -1.172 -3.345 -2.916
Ag -1.929 -1.753 -1.044
Li 1.174 -7.956 3.440
Ag 1.315 -4.485 -2.145
Ag -2.077 -7.387 -0.401
Ag -0.958 -3.563 2.352
Ag -1.150 -5.628 4.301
Ag -1.850 -8.148 5.146
Ag 0.442 -2.983 0.060
Li 0.672 -5.146 6.266
Li -1.709 -4.678 -0.439
Ag 0.615 -7.005 -1.300
Sn 0.000 0.000 0.000
Li 0.905 -2.972 4.417
Sn -0.268 -6.317 1.501
CELL_PARAMETERS angstrom
-4.524 -0.646 -1.320
2.180 -6.044 -4.513
1.810 -5.943 8.834
! space-group type	No. 14

## 2
! Li3Ag6Sn | Alexandria | PBE | relaxed; values from VASP
&SYSTEM
  ibrav = 0, nat = 20, ntyp = 3
/
ATOMIC_SPECIES
Ag 107.87 Ag.upf
Li 6.94 Li.upf
Sn 118.71 Sn.upf
ATOMIC_POSITIONS angstrom
Ag -0.267 -5.560 6.260
Ag 2.148 -2.138 8.606
Ag -4.351 -4.186 0.864
Li -0.122 -4.069 3.440
Ag -6.524 -4.436 5.075
Ag -2.468 -4.021 5.493
Li -2.731 -0.522 2.033
Ag -1.723 -2.956 1.554
Ag -2.389 -5.394 2.758
Ag 0.006 -2.635 6.415
Ag -1.802 -1.584 4.289
Li -3.409 -4.468 7.960
Sn 2.146 -3.898 5.040
Ag -5.312 -0.001 2.885
Li -1.947 0.885 5.316
Li -4.193 -5.875 4.677
Ag -7.268 -3.892 -0.155
Li -4.122 -2.854 3.688
Ag 0.945 -1.126 4.069
Sn -6.540 -2.872 2.314
CELL_PARAMETERS angstrom
-2.596 2.647 3.924
-6.905 -4.629 -1.446
4.501 -4.170 5.791
! space-group type	No. 36

Most stable: 2. Least stable: 1.

## 1
! LiAg12Sn6 | Alexandria | PBE | relaxed; values from VASP
&SYSTEM
  ibrav = 0, nat = 19, ntyp = 3
/
ATOMIC_SPECIES
Sn 118.71 Sn.upf
Ag 107.87 Ag.upf
Li 6.94 Li.upf
ATOMIC_POSITIONS angstrom
Sn 1.034 5.535 0.759
Ag 5.843 6.718 3.298
Ag 2.644 0.818 0.345
Ag 5.454 3.815 2.817
Ag 3.932 6.630 5.543
Li 0.000 0.000 0.000
Ag 0.733 0.731 2.590
Ag 0.396 2.725 0.443
Sn 1.192 5.902 4.944
Sn 1.345 1.711 5.248
Sn 5.385 1.547 0.944
Sn 5.232 5.737 0.640
Ag 1.122 3.633 3.071
Ag 3.365 3.847 5.111
Sn 5.543 1.913 5.129
Ag 3.143 5.885 2.781
Ag 3.212 3.601 0.777
Ag 3.434 1.564 3.107
Ag 6.180 4.723 5.445
CELL_PARAMETERS angstrom
7.320 0.087 -0.734
-0.820 7.274 -0.734
0.077 0.087 7.356
! space-group type	No. 148

## 2
! LiAg12Sn6 | Alexandria | PBE | relaxed; values from VASP
&SYSTEM
  ibrav = 0, nat = 19, ntyp = 3
/
ATOMIC_SPECIES
Li 6.94 Li.upf
Sn 118.71 Sn.upf
Ag 107.87 Ag.upf
ATOMIC_POSITIONS angstrom
Li 0.000 0.000 0.000
Sn -1.464 1.210 2.432
Ag 0.016 3.629 3.650
Sn -1.693 5.942 3.913
Ag -4.018 0.397 3.856
Ag 0.145 7.656 -0.500
Ag -4.210 2.388 1.750
Ag -1.165 4.181 6.329
Ag -1.087 4.963 -0.825
Sn -2.409 6.843 0.923
Ag -2.708 3.872 -2.973
Ag -2.786 3.090 4.180
Ag 2.684 4.136 2.619
Ag -6.557 3.918 0.736
Ag -3.890 4.424 -0.294
Ag 0.337 5.665 1.605
Sn 0.637 2.930 0.730
Sn -4.510 5.124 2.625
Sn -2.180 2.112 -0.558
CELL_PARAMETERS angstrom
-5.032 3.277 -4.621
-3.795 -0.767 6.513
4.953 5.544 1.463
! space-group type	No. 148

Most stable: 2. Least stable: 1.

## 1
! Li5Ag2Sn4 | Alexandria | PBE | relaxed; values from VASP
&SYSTEM
  ibrav = 0, nat = 22, ntyp = 3
/
ATOMIC_SPECIES
Sn 118.71 Sn.upf
Li 6.94 Li.upf
Ag 107.87 Ag.upf
ATOMIC_POSITIONS angstrom
Sn 9.236 4.209 6.540
Li 1.138 2.081 6.368
Sn 10.868 5.742 11.112
Li 0.000 0.000 0.000
Sn 2.186 2.105 1.002
Sn 3.818 3.639 5.574
Li 8.834 1.925 4.706
Li 13.039 3.908 10.298
Li 12.063 2.721 6.714
Sn 14.147 4.796 7.637
Sn 6.603 4.728 8.574
Li 0.163 0.894 2.785
Ag 2.051 4.273 7.837
Li 3.947 1.322 3.555
Sn 6.451 3.119 3.540
Sn -1.093 3.051 4.477
Ag 1.699 2.962 3.771
Li 4.368 2.877 8.377
Ag 11.356 4.885 8.343
Ag 11.003 3.575 4.277
Li 6.601 2.401 6.541
Li 9.255 3.480 9.527
CELL_PARAMETERS angstrom
-0.148 3.045 -0.969
-2.987 1.976 6.668
16.189 2.826 6.415
! space-group type	No. 55

## 2
! Li5Ag2Sn4 | Alexandria | PBE | relaxed; values from VASP
&SYSTEM
  ibrav = 0, nat = 11, ntyp = 3
/
ATOMIC_SPECIES
Sn 118.71 Sn.upf
Ag 107.87 Ag.upf
Li 6.94 Li.upf
ATOMIC_POSITIONS angstrom
Sn 1.569 5.707 5.866
Ag 0.000 0.429 5.886
Li 0.000 0.850 1.196
Sn 1.569 1.453 8.138
Li 0.000 3.172 6.151
Ag 0.000 7.105 3.651
Li 0.000 4.362 3.385
Sn 1.569 6.081 1.399
Li 0.000 3.960 0.155
Sn 1.569 1.827 3.671
Li 0.000 6.684 8.341
CELL_PARAMETERS angstrom
3.139 0.000 0.000
0.000 7.920 0.310
0.000 -0.386 9.226
! space-group type	No. 10

Most stable: 1. Least stable: 2.